Here is a relaxed structure of La4Tl2F from Alexandria. Energies are from GGA-PBE.

Lattice parameters (Å, degrees): 9.585 9.585 9.585 150.06 150.06 42.85
Element x y z (fractional)
1 La 0.000 0.500 0.500
2 La 0.184 0.184 0.000
3 La 0.500 0.000 0.500
4 La 0.816 0.816 0.000
5 Tl 0.366 0.366 0.000
6 Tl 0.634 0.634 0.000
7 F 0.000 0.000 0.000

Properties
electronic total energy: -4.6777 eV/atom
symmetry: I4/mmm (139)
formation energy without anion corrections: -0.919 eV per atom